! BaBeNi | the Alexandria database | PBE | optimized geometry; values from VASP
! D(E_F)   2.4 states/eV/cell
! VASP energy   -0.25661 Ry/atom
! Energy above the most stable polymorph in this dataset   0.36 eV per formula unit
! ΔE_f   0.96 eV/f.u.
&SYSTEM
  ibrav = 0, nat = 3, ntyp = 3
/
ATOMIC_SPECIES
Ni 58.69 Ni.upf
Ba 137.33 Ba.upf
Be 9.01 Be.upf
ATOMIC_POSITIONS angstrom
Ni -8.697 -0.251 1.131
Ba -11.502 0.392 0.686
Be -3.698 -1.396 1.924
CELL_PARAMETERS angstrom
-5.657 1.408 1.421
-5.868 -1.011 -0.739
-0.846 -2.049 2.377